Here is an optimized crystal structure of Zn2Cd2FePt5 from Alexandria. Energies are from GGA-PBE.

Summary:
E_tot: -45.56 eV/f.u.
Fermi-level density of states: 6.71 states/eV/cell
SG: P4/mbm
ΔE_f: -2.510 eV per formula unit
Size of the total moment: 4.0 μB/f.u.

Cell and atoms, written as extended XYZ:
```
20
Lattice="9.347 0.000 0.000 0.000 9.347 0.000 0.000 0.000 3.776" Properties=species:S:1:pos:R:3 pbc="T T T"
Zn 1.193 3.480 0.000
Zn 3.480 8.153 0.000
Zn 5.867 1.193 0.000
Zn 8.153 5.867 0.000
Cd 1.602 6.276 0.000
Cd 3.071 1.602 0.000
Cd 6.276 7.744 0.000
Cd 7.744 3.071 0.000
Fe 0.000 0.000 0.000
Fe 4.673 4.673 0.000
Pt 0.000 4.673 1.888
Pt 0.707 1.809 1.888
Pt 1.809 8.640 1.888
Pt 2.865 3.967 1.888
Pt 3.967 6.482 1.888
Pt 4.673 0.000 1.888
Pt 5.380 2.865 1.888
Pt 6.482 5.380 1.888
Pt 7.538 0.707 1.888
Pt 8.640 7.538 1.888
```